The following is a PBE-GGA calculation of an optimized crystal structure of CuAgHgI4, from OQMD.

Cell: 6.2999 6.4062 6.4384 Å, 90.00 90.00 90.00°
With the nearest neighbours (Å) after each atom.
Positions (direct):
Cu: 0.0000 0.0000 0.0000  4 I 2.64
Ag: 0.5000 0.5000 0.0000  4 I 2.85
Hg: 0.5000 0.0000 0.5000  4 I 2.89
I: 0.2212 0.2489 0.2439  1 Cu 2.64, 1 Ag 2.85, 1 Hg 2.89
I: 0.2212 0.7511 0.7561  1 Cu 2.64, 1 Ag 2.85, 1 Hg 2.89
I: 0.7788 0.2489 0.7561  1 Cu 2.64, 1 Ag 2.85, 1 Hg 2.89
I: 0.7788 0.7511 0.2439  1 Cu 2.64, 1 Ag 2.85, 1 Hg 2.89

Values from the calculation:
crystal system	orthorhombic
symmetry	No. 16
energy	-0.07768	Ha/atom

***

The following is a PBE-GGA calculation of an optimized crystal structure of ErN2, from OQMD.

Cell: 3.8471 3.8471 3.8471 Å, 60.00 60.00 60.00°
With the nearest neighbours (Å) after each atom.
Positions (direct):
Er: 0.0000 0.0000 0.0000  8 N 2.36
N: 0.2500 0.2500 0.2500  4 Er 2.36
N: 0.7500 0.7500 0.7500  4 Er 2.36

Values from the calculation:
crystal system	cubic
symmetry	No. 225
energy	-0.25089	Ha/atom

***

The following is a PBE-GGA calculation of an optimized crystal structure of DyTmGa4Ag2, from OQMD.

Cell: 6.6151 5.6919 5.6919 Å, 46.70 90.00 90.00°
With the nearest neighbours (Å) after each atom.
Positions (direct):
Dy: 0.0000 0.0000 0.0000  6 Ga 3.02-3.31, 3 Ag 3.05-3.13
Tm: 0.5000 0.1844 0.1844  6 Ga 3.01-3.29, 3 Ag 3.06-3.13
Ga: 0.2005 0.7096 0.7096  2 Ga 2.56-2.65, 3 Ag 2.75
Ga: 0.3012 0.4734 0.4734  2 Ga 2.56-2.63, 3 Ag 2.75
Ga: 0.6988 0.4734 0.4734  2 Ga 2.56-2.63, 3 Ag 2.75
Ga: 0.7995 0.7096 0.7096  2 Ga 2.56-2.65, 3 Ag 2.75
Ag: 0.0000 0.2918 0.2918  6 Ga 2.75, 1 Dy 3.05
Ag: 0.5000 0.8915 0.8915  6 Ga 2.75, 1 Tm 3.06

Values from the calculation:
crystal system	orthorhombic
symmetry	No. 38
energy	-0.14019	Ha/atom

***

- Which value of energy does entry 2 give?
  -0.25089 Ha/atom